Record 1
A geometry-optimized Tl3CuAg3Cl8 structure. Source: Alexandria, functional PBE.

Output
E_form (uncorrected) = -0.653 eV/atom
uncorrected energy = -2.955 eV/atom
V = 28.57 Å³/atom

Unit cell a=15.2735 b=7.7837 c=8.7041 alpha=90.00 beta=124.06 gamma=90.00
Closest atoms and distances in Å follow each position.
Space group C2/m (No. 12)
Inequivalent atoms, fractional coordinates:
Tl1 0.0000 0.0000 0.0000 x2  6 Cl 3.21-3.27
Tl2 0.2500 0.2500 0.0000 x4  6 Cl 3.14-3.23
Cu1 0.0000 0.0000 0.5000 x2  4 Cl 2.34
Ag1 0.0000 0.5000 0.5000 x2  4 Cl 2.74
Ag2 0.2500 0.2500 0.5000 x4  4 Cl 2.66-2.71
Cl1 0.0004 0.2168 0.3140 x8  1 Cu 2.34
Cl2 0.2378 0.5000 0.2807 x4  2 Ag 2.66
Cl3 0.2426 0.5000 0.7091 x4  2 Ag 2.71

=====

Record 2
A geometry-optimized Tl3CuAg2Cl8 structure. Source: Alexandria, functional PBE.

Output
E_form (uncorrected) = -0.633 eV/atom
uncorrected energy = -2.895 eV/atom
V = 28.81 Å³/atom

Unit cell a=7.0125 b=7.0125 c=9.4720 alpha=90.00 beta=90.00 gamma=120.00
Closest atoms and distances in Å follow each position.
Space group P-3m1 (No. 164)
Inequivalent atoms, fractional coordinates:
Tl1 0.0000 0.0000 0.0000 x1  12 Cl 3.80-4.09
Tl2 0.3333 0.6667 0.6195 x2  4 Cl 3.04-3.35
Cu1 0.0000 0.0000 0.5000 x1  6 Cl 2.41
Ag1 0.3333 0.6667 0.1949 x2  4 Cl 2.41-2.56
Cl1 0.1580 0.3161 0.3459 x6  1 Cu 2.41, 1 Ag 2.56
Cl2 0.3333 0.6667 0.9409 x2  1 Ag 2.41

=====

Record 3
A geometry-optimized Tl2CuAg2Cl6 structure. Source: Alexandria, functional PBE.

Output
E_form (uncorrected) = -0.648 eV/atom
uncorrected energy = -2.976 eV/atom
V = 28.72 Å³/atom

Unit cell a=15.4685 b=6.9730 c=6.0855 alpha=90.00 beta=105.69 gamma=90.00
Closest atoms and distances in Å follow each position.
Space group C2/m (No. 12)
Inequivalent atoms, fractional coordinates:
Tl1 0.2315 0.0000 0.1887 x4  6 Cl 3.16-3.48
Cu1 0.0000 0.0000 0.5000 x2  4 Cl 2.29
Ag1 0.0402 0.5000 0.2565 x4  3 Cl 2.45-2.59
Cl1 0.0745 0.2291 0.7494 x8  1 Cu 2.29
Cl2 0.2004 0.5000 0.2718 x4  1 Ag 2.45

=====

Record 4
A geometry-optimized Tl3Cu2AgCl9 structure. Source: Alexandria, functional PBE.

Output
E_form (uncorrected) = -0.678 eV/atom
uncorrected energy = -2.995 eV/atom
V = 24.35 Å³/atom

Unit cell a=7.0013 b=7.0013 c=8.6050 alpha=90.00 beta=90.00 gamma=120.00
Closest atoms and distances in Å follow each position.
Space group P-3m1 (No. 164)
Inequivalent atoms, fractional coordinates:
Tl1 0.0000 0.0000 0.0000 x1  12 Cl 3.48-3.50
Tl2 0.3333 0.6667 0.6682 x2  12 Cl 3.50-3.55
Cu1 0.3333 0.6667 0.1604 x2  6 Cl 2.40-2.45
Ag1 0.0000 0.0000 0.5000 x1  6 Cl 2.59
Cl1 0.0000 0.5000 0.0000 x3  2 Cu 2.45
Cl2 0.1725 0.3451 0.3233 x6  1 Cu 2.40, 1 Ag 2.59

=====

Record 5
A geometry-optimized Tl2CuAgCl6 structure. Source: Alexandria, functional PBE.

Output
E_form (uncorrected) = -0.681 eV/atom
uncorrected energy = -2.957 eV/atom
V = 26.08 Å³/atom

Unit cell a=9.9366 b=9.9388 c=7.2474 alpha=90.00 beta=133.21 gamma=90.00
Closest atoms and distances in Å follow each position.
Space group C2/m (No. 12)
Inequivalent atoms, fractional coordinates:
Tl1 0.0000 0.2499 0.0000 x4  12 Cl 3.52-3.64
Cu1 0.0000 0.0000 0.5000 x2  4 Cl 2.27
Ag1 0.0000 0.5000 0.5000 x2  6 Cl 2.44-2.70
Cl1 0.0000 0.2282 0.5000 x4  1 Cu 2.27
Cl2 0.2279 0.0000 0.4993 x4  1 Cu 2.27
Cl3 0.2305 0.5000 0.9615 x4  1 Ag 2.44

=====

Record 6
A geometry-optimized TlCu2AgCl4 structure. Source: Alexandria, functional PBE.

Output
E_form (uncorrected) = -0.522 eV/atom
uncorrected energy = -3.122 eV/atom
V = 26.16 Å³/atom

Unit cell a=5.8230 b=5.8230 c=12.3444 alpha=90.00 beta=90.00 gamma=90.00
Closest atoms and distances in Å follow each position.
Space group I-42m (No. 121)
Inequivalent atoms, fractional coordinates:
Tl1 0.0000 0.0000 0.0000 x2  4 Cl 3.04
Cu1 0.0000 0.5000 0.2500 x4  4 Cl 2.37
Ag1 0.0000 0.0000 0.5000 x2  4 Cl 2.64
Cl1 0.2168 0.2168 0.3423 x8  2 Cu 2.37, 1 Ag 2.64

=====

Please write out number 4 again, unchanged.
A geometry-optimized Tl3Cu2AgCl9 structure. Source: Alexandria, functional PBE.

Output
E_form (uncorrected) = -0.678 eV/atom
uncorrected energy = -2.995 eV/atom
V = 24.35 Å³/atom

Unit cell a=7.0013 b=7.0013 c=8.6050 alpha=90.00 beta=90.00 gamma=120.00
Closest atoms and distances in Å follow each position.
Space group P-3m1 (No. 164)
Inequivalent atoms, fractional coordinates:
Tl1 0.0000 0.0000 0.0000 x1  12 Cl 3.48-3.50
Tl2 0.3333 0.6667 0.6682 x2  12 Cl 3.50-3.55
Cu1 0.3333 0.6667 0.1604 x2  6 Cl 2.40-2.45
Ag1 0.0000 0.0000 0.5000 x1  6 Cl 2.59
Cl1 0.0000 0.5000 0.0000 x3  2 Cu 2.45
Cl2 0.1725 0.3451 0.3233 x6  1 Cu 2.40, 1 Ag 2.59

=====

- Which formula does entry 2 have?
  Tl3CuAg2Cl8

=====

- Look up the E_form (uncorrected) of the first one.
  -0.653 eV/atom

=====

- What is the E_form (uncorrected) in the first record?
  -0.653 eV/atom